Entry 1:
Density functional theory data (PBE) for an optimized crystal structure of SrAl2CuAg2.

Results
DFT formation energy ... -0.10 eV/atom

Cell: 4.6334 4.6334 6.0948 Å, 90.00 90.00 90.00°
Positions (direct):
Ag: 0.5000 0.5000 0.7315
Ag: 0.5000 0.5000 0.2685
Sr: 0.0000 0.0000 0.5000
Al: 0.5000 0.0000 0.0000
Al: 0.0000 0.5000 0.0000
Cu: 0.0000 0.0000 0.0000

---

Entry 2:
Density functional theory data (PBE) for an optimized crystal structure of TaAlCuAg2.

Results
DFT formation energy ... 1.61 eV/atom

Cell: 5.1023 5.1449 5.1023 Å, 90.00 90.00 90.00°
Each line ends with the local moment (μB).
Positions (direct):
Ag: 0.5000 0.0000 0.0000  0.01
Ag: 0.0000 0.0000 0.5000  0.01
Al: 0.0000 0.5000 0.0000  0.00
Cu: 0.5000 0.5000 0.5000  0.00
Ta: 0.0000 0.0000 0.0000  0.09

---

Entry 3:
Density functional theory data (PBE) for an optimized crystal structure of Tb2Al4CuAg3.

Results
DFT formation energy ... -0.32 eV/atom

Cell: 4.2718 4.2718 10.7667 Å, 90.00 90.00 90.00°
Positions (direct):
Tb: 0.5000 0.0000 0.2580
Tb: 0.0000 0.5000 0.7420
Ag: 0.0000 0.0000 0.5000
Ag: 0.0000 0.5000 0.1401
Ag: 0.5000 0.0000 0.8599
Cu: 0.5000 0.5000 0.5000
Al: 0.5000 0.0000 0.6266
Al: 0.5000 0.5000 0.0000
Al: 0.0000 0.5000 0.3734
Al: 0.0000 0.0000 0.0000

---

Entry 4:
Density functional theory data (PBE) for an optimized crystal structure of Tb4AlCuAg2.

Results
DFT formation energy ... -0.30 eV/atom

Cell: 5.1104 5.1104 8.8453 Å, 73.21 73.21 60.00°
Positions (direct):
Cu: 0.5000 0.5000 0.5000
Tb: 0.6203 0.6203 0.1391
Tb: 0.3797 0.3797 0.8609
Tb: 0.8714 0.8714 0.3858
Tb: 0.1286 0.1286 0.6142
Ag: 0.7440 0.7440 0.7680
Ag: 0.2560 0.2560 0.2320
Al: 0.0000 0.0000 0.0000

---

Entry 5:
Density functional theory data (PBE) for an optimized crystal structure of TbAl3CuAg.

Results
DFT formation energy ... -0.17 eV/atom

Cell: 5.9969 6.0049 6.9559 Å, 115.57 90.00 90.00°
Positions (direct):
Al: 0.2500 0.1333 0.2665
Al: 0.5000 0.7162 0.0000
Al: 0.0000 0.2838 0.0000
Al: 0.0000 0.7162 0.0000
Al: 0.7500 0.8667 0.7335
Al: 0.5000 0.2838 0.0000
Cu: 0.2500 0.9229 0.8458
Cu: 0.7500 0.0771 0.1542
Ag: 0.7500 0.6562 0.3123
Ag: 0.2500 0.3438 0.6877
Tb: 0.7500 0.2928 0.5855
Tb: 0.2500 0.7072 0.4145

---

Entry 6:
Density functional theory data (PBE) for an optimized crystal structure of Tb2Al3Cu12Ag.

Results
DFT formation energy ... 0.10 eV/atom

Cell: 10.3348 10.3348 10.3348 Å, 33.60 33.60 33.60°
Positions (direct):
Cu: 0.5841 0.1852 0.5841
Cu: 0.1221 0.5670 0.1221
Cu: 0.4159 0.4159 0.8148
Cu: 0.1852 0.5841 0.5841
Cu: 0.8148 0.4159 0.4159
Cu: 0.1221 0.1221 0.5670
Cu: 0.4159 0.8148 0.4159
Cu: 0.8779 0.4330 0.8779
Cu: 0.8779 0.8779 0.4330
Cu: 0.4330 0.8779 0.8779
Cu: 0.5670 0.1221 0.1221
Cu: 0.5841 0.5841 0.1852
Ag: 0.0000 0.0000 0.0000
Al: 0.0000 0.0000 0.5000
Al: 0.5000 0.0000 0.0000
Al: 0.0000 0.5000 0.0000
Tb: 0.6416 0.6416 0.6416
Tb: 0.3584 0.3584 0.3584

---

Entry 7:
Density functional theory data (PBE) for an optimized crystal structure of AlCuTcAg2.

Results
DFT formation energy ... 1.01 eV/atom

Cell: 4.6907 4.4606 4.6907 Å, 90.00 90.00 90.00°
Each line ends with the local moment (μB).
Positions (direct):
Ag: 0.5000 0.0000 0.0000  -0.02
Ag: 0.0000 0.0000 0.5000  -0.01
Cu: 0.0000 0.0000 0.0000  0.00
Tc: 0.5000 0.5000 0.5000  2.77
Al: 0.0000 0.5000 0.0000  -0.05

---

Entry 8:
Density functional theory data (PBE) for an optimized crystal structure of AlCuTc2Ag.

Results
DFT formation energy ... 1.88 eV/atom

Cell: 4.9026 4.5590 4.9026 Å, 90.00 90.00 90.00°
Each line ends with the local moment (μB).
Positions (direct):
Tc: 0.5000 0.0000 0.0000  1.99
Tc: 0.0000 0.0000 0.5000  2.65
Ag: 0.0000 0.0000 0.0000  0.15
Cu: 0.0000 0.5000 0.0000  0.06
Al: 0.5000 0.5000 0.5000  -0.06